Density functional theory data (PBE-GGA) for a geometry-optimized AlCoHg3 structure.

abc: 5.1774 5.1774 5.1774
angles: 90.00 90.00 90.00
Last column: nearest neighbours and their distance in Å.
Space group Pm-3m (No. 221)
One atom of each set of equivalent atoms:
Al 0.0000 0.0000 0.0000 (multiplicity 1)  6 Hg 2.59
Co 0.5000 0.5000 0.5000 (multiplicity 1)  12 Hg 3.66
Hg 0.0000 0.0000 0.5000 (multiplicity 3)  2 Al 2.59

Energy of formation from the pure elements   4.30 eV/f.u.



Density functional theory data (PBE-GGA) for a geometry-optimized AlCoHg2 structure.

abc: 2.9988 2.9988 8.1336
angles: 90.00 90.00 90.00
Last column: nearest neighbours and their distance in Å.
Space group P4/mmm (No. 123)
One atom of each set of equivalent atoms:
Al 0.0000 0.0000 0.0000 (multiplicity 1)  4 Al 3.00, 8 Hg 3.08
Co 0.0000 0.0000 0.5000 (multiplicity 1)  8 Hg 2.80, 4 Co 3.00
Hg 0.5000 0.5000 0.2744 (multiplicity 2)  4 Co 2.80, 4 Hg 3.00, 4 Al 3.08

Energy of formation from the pure elements   1.67 eV/f.u.



Density functional theory data (PBE-GGA) for a geometry-optimized AlCo2Hg structure.

abc: 6.0980 6.0980 6.0980
angles: 90.00 90.00 90.00
Last column: nearest neighbours and their distance in Å.
Space group F-43m (No. 216)
One atom of each set of equivalent atoms:
Al 0.0000 0.0000 0.0000 (multiplicity 4)  4 Hg 2.64, 4 Co 2.64
Co 0.0000 0.0000 0.5000 (multiplicity 4)  4 Hg 2.64, 4 Co 2.64
Co 0.2500 0.2500 0.7500 (multiplicity 4)  4 Co 2.64, 4 Al 2.64
Hg 0.2500 0.2500 0.2500 (multiplicity 4)  4 Co 2.64, 4 Al 2.64

Energy of formation from the pure elements   1.00 eV/f.u.



Density functional theory data (PBE-GGA) for a geometry-optimized AlCoHg2 structure.

abc: 9.1819 3.2664 4.8704
angles: 90.00 102.70 90.00
Last column: nearest neighbours and their distance in Å.
Space group C2/m (No. 12)
One atom of each set of equivalent atoms:
Al 0.0000 0.0000 0.0000 (multiplicity 2)  6 Hg 2.79-2.92, 4 Co 2.93
Co 0.0000 0.5000 0.5000 (multiplicity 2)  6 Hg 2.80-2.86, 4 Al 2.93
Hg 0.2423 0.0000 0.7397 (multiplicity 4)  3 Al 2.79-2.92, 3 Co 2.80-2.86, 4 Hg 2.88-2.99

Energy of formation from the pure elements   1.42 eV/f.u.